Density functional theory data (PBE) for a relaxed Ce2PmErS5 crystal.

ΔE_f (raw): -1.520 eV/atom
D(E_F): 18.1 states/eV per cell

Structure (CIF):
```
data_Ce2PmErS5
_cell_length_a 4.863
_cell_length_b 4.863
_cell_length_c 10.466
_cell_angle_alpha 90.00
_cell_angle_beta 90.00
_cell_angle_gamma 90.00
_symmetry_space_group_name_H-M 'P 4/m m m'
_symmetry_Int_Tables_number 123
_symmetry_space_group_name_Hall '-P 4 2'
loop_
_atom_site_label
_atom_site_fract_x
_atom_site_fract_y
_atom_site_fract_z
Ce1 0.000 0.000 0.195
Pm1 0.500 0.500 0.500
Er1 0.500 0.500 0.000
S1 0.000 0.000 0.500
S2 0.000 0.500 0.000
S3 0.500 0.500 0.251
```